# 1
A plane-wave DFT calculation with PBE-GGA was carried out for crystalline OsSBr2O6 at its relaxed geometry.

Properties
Crystal system   triclinic
Magnetization   0.00 μB per formula unit
Total energy   -5.24 eV/atom

Cell lengths 4.8346, 4.8867, 6.9522 Å; angles 85.94, 89.23, 89.11 degrees
Space group P-1 (No. 2)
Asymmetric unit:
Os 0.0000 0.0000 0.0000 [1 per cell]
S 0.5000 0.5000 0.0000 [1 per cell]
Br 0.3600 0.6621 0.5736 [2 per cell]
O 0.0791 0.0054 0.7515 [2 per cell]
O 0.2045 0.3590 0.0261 [2 per cell]
O 0.3627 0.7883 0.0548 [2 per cell]

=====

# 2
A plane-wave DFT calculation with PBE-GGA was carried out for crystalline OsSe2BrO at its relaxed geometry.

Properties
Crystal system   tetragonal
Magnetization   0.27 μB per formula unit
Total energy   -3.94 eV/atom

Cell lengths 4.7646, 4.7646, 5.2298 Å; angles 90.00, 90.00, 90.00 degrees
Space group P4/mmm (No. 123)
Asymmetric unit:
Os 0.0000 0.0000 0.0000 [1 per cell]
Se 0.0000 0.5000 0.0000 [2 per cell]
Br 0.0000 0.0000 0.5000 [1 per cell]
O 0.5000 0.5000 0.5000 [1 per cell]

=====

# 3
A plane-wave DFT calculation with PBE-GGA was carried out for crystalline OsSeBr2O at its relaxed geometry.

Properties
Crystal system   tetragonal
Magnetization   0.00 μB per formula unit
Total energy   -3.57 eV/atom

Cell lengths 5.0911, 5.0911, 4.6551 Å; angles 90.00, 90.00, 90.00 degrees
Space group P4/mmm (No. 123)
Asymmetric unit:
Os 0.0000 0.0000 0.0000 [1 per cell]
Se 0.0000 0.0000 0.5000 [1 per cell]
Br 0.0000 0.5000 0.0000 [2 per cell]
O 0.5000 0.5000 0.5000 [1 per cell]

=====

# 4
A plane-wave DFT calculation with PBE-GGA was carried out for crystalline OsSe2BrO at its relaxed geometry.

Properties
Crystal system   tetragonal
Magnetization   3.49 μB per formula unit
Total energy   -3.72 eV/atom

Cell lengths 4.0802, 4.0802, 5.9001 Å; angles 90.00, 90.00, 90.00 degrees
Space group P4/mmm (No. 123)
Asymmetric unit:
Os 0.0000 0.0000 0.0000 [1 per cell]
Se 0.0000 0.5000 0.5000 [2 per cell]
Br 0.5000 0.5000 0.0000 [1 per cell]
O 0.5000 0.5000 0.5000 [1 per cell]

=====

# 5
A plane-wave DFT calculation with PBE-GGA was carried out for crystalline OsSeBr2O at its relaxed geometry.

Properties
Crystal system   tetragonal
Magnetization   4.08 μB per formula unit
Total energy   -3.11 eV/atom

Cell lengths 4.7664, 4.7664, 4.3620 Å; angles 90.00, 90.00, 90.00 degrees
Space group P4/mmm (No. 123)
Asymmetric unit:
Os 0.0000 0.0000 0.0000 [1 per cell]
Se 0.5000 0.5000 0.0000 [1 per cell]
Br 0.0000 0.5000 0.5000 [2 per cell]
O 0.5000 0.5000 0.5000 [1 per cell]

=====

# 6
A plane-wave DFT calculation with PBE-GGA was carried out for crystalline UOsBr2O6 at its relaxed geometry.

Properties
Crystal system   monoclinic
Magnetization   0.00 μB per formula unit
Total energy   -6.74 eV/atom

Cell lengths 12.6648, 6.4059, 5.1427 Å; angles 90.00, 108.55, 90.00 degrees
Space group C2/m (No. 12)
Asymmetric unit:
U 0.0000 0.0000 0.0000 [2 per cell]
Os 0.0000 0.5000 0.5000 [2 per cell]
Br 0.1747 0.0000 0.6085 [4 per cell]
O 0.0042 0.2985 0.7478 [8 per cell]
O 0.1566 0.0000 0.0944 [4 per cell]

=====

| no. | uncorrected formation energy (eV per atom) |
| --- | --- |
| 1 | -0.393 |
| 2 | 1.031 |
| 3 | 1.030 |
| 4 | 1.250 |
| 5 | 1.496 |
| 6 | -1.177 |